First-principles (PBE) data for an optimized crystal structure of Nd11In9Rh4, as listed in the Alexandria database.

Results
Total energy = -5.061 eV/atom
SG = Cmmm (65)

Cell lengths 13.4163, 13.4163, 3.8313 Å; angles 90.00, 90.00, 112.30 degrees
Last column: nearest neighbours and their distance in Å.
Element x y z (fractional)
Nd: 0.0000 0.0000 0.0000  8 In 3.32, 2 Nd 3.62
Nd: 0.0774 0.4164 0.0000  2 Rh 2.87
Nd: 0.1624 0.8376 0.0000  8 In 3.35-3.58, 3 Nd 3.62-3.69
Nd: 0.3123 0.3123 0.0000  4 Rh 3.01
Nd: 0.3741 0.6259 0.0000  4 Rh 3.03, 2 In 3.40
Nd: 0.4164 0.0774 0.0000  2 Rh 2.87
Nd: 0.5836 0.9226 0.0000  2 Rh 2.87
Nd: 0.6259 0.3741 0.0000  4 Rh 3.03, 2 In 3.40
Nd: 0.6877 0.6877 0.0000  4 Rh 3.01
Nd: 0.8376 0.1624 0.0000  8 In 3.35-3.58, 3 Nd 3.62-3.69
Nd: 0.9226 0.5836 0.0000  2 Rh 2.87
In: 0.0782 0.2185 0.5000  1 Rh 3.05, 1 In 3.13, 4 Nd 3.28-3.32
In: 0.1612 0.6326 0.5000  1 In 3.08, 1 Rh 3.08, 4 Nd 3.30-3.35
In: 0.2185 0.0782 0.5000  1 Rh 3.05, 1 In 3.13, 4 Nd 3.28-3.32
In: 0.3674 0.8388 0.5000  1 In 3.08, 1 Rh 3.08, 4 Nd 3.30-3.35
In: 0.5000 0.5000 0.5000  4 Rh 3.22, 8 Nd 3.40
In: 0.6326 0.1612 0.5000  1 In 3.08, 1 Rh 3.08, 4 Nd 3.30-3.35
In: 0.7815 0.9218 0.5000  1 Rh 3.05, 1 In 3.13, 4 Nd 3.28-3.32
In: 0.8388 0.3674 0.5000  1 In 3.08, 1 Rh 3.08, 4 Nd 3.30-3.35
In: 0.9218 0.7815 0.5000  1 Rh 3.05, 1 In 3.13, 4 Nd 3.28-3.32
Rh: 0.2455 0.4483 0.5000  6 Nd 2.87-3.03, 2 In 3.05-3.08
Rh: 0.4483 0.2455 0.5000  6 Nd 2.87-3.03, 2 In 3.05-3.08
Rh: 0.5517 0.7545 0.5000  6 Nd 2.87-3.03, 2 In 3.05-3.08
Rh: 0.7545 0.5517 0.5000  6 Nd 2.87-3.03, 2 In 3.05-3.08